Compound: Tb3Sm2Y6
Source: the Alexandria database
Functional: PBE
Structure: relaxed

The structure in CIF format:
```
data_Tb3Sm2Y6
_space_group_name_H-M_alt 'P 1'
_space_group_IT_number 1
_cell_length_a 4.738
_cell_length_b 4.738
_cell_length_c 17.101
_cell_angle_alpha 97.96
_cell_angle_beta 97.96
_cell_angle_gamma 90.00
loop_
_space_group_symop_operation_xyz
'x,y,z'
loop_
_atom_site_label
_atom_site_type_symbol
_atom_site_fract_x
_atom_site_fract_y
_atom_site_fract_z
Y1 Y 0.121 0.621 0.243
Y2 Y 0.621 0.121 0.243
Y3 Y 0.379 0.879 0.757
Sm1 Sm 0.455 0.455 0.910
Y4 Y 0.699 0.699 0.397
Tb1 Tb 0.000 0.000 0.000
Tb2 Tb 0.199 0.199 0.398
Y5 Y 0.879 0.379 0.757
Tb3 Tb 0.801 0.801 0.602
Y6 Y 0.301 0.301 0.603
Sm2 Sm 0.545 0.545 0.090
```

Calculated values
* excess energy over the best structure of this formula in the dataset: 98 kJ/mol of formula units
* E: -5.36 eV/atom
* magnetization: 0.0 μB per cell
* theoretical density: 5.78 Mg/m³
* space-group type: I4/mmm
* density of states at the Fermi level: 17.69 states/eV/f.u.
* crystal system: tetragonal
* ΔH_f (0 K): 284 meV per atom

***

Compound: Tb5Sm2Y4
Source: the Alexandria database
Functional: PBE
Structure: relaxed

The structure in CIF format:
```
data_Tb5Sm2Y4
_space_group_name_H-M_alt 'P 1'
_space_group_IT_number 1
_cell_length_a 3.518
_cell_length_b 9.077
_cell_length_c 12.651
_cell_angle_alpha 111.02
_cell_angle_beta 97.99
_cell_angle_gamma 90.00
loop_
_space_group_symop_operation_xyz
'x,y,z'
loop_
_atom_site_label
_atom_site_type_symbol
_atom_site_fract_x
_atom_site_fract_y
_atom_site_fract_z
Tb1 Tb 0.144 0.340 0.288
Y1 Y 0.000 0.690 0.000
Tb2 Tb 0.856 0.052 0.712
Y2 Y 0.598 0.598 0.196
Y3 Y 0.000 0.310 0.000
Y4 Y 0.402 0.402 0.804
Sm1 Sm 0.732 0.732 0.465
Tb3 Tb 0.144 0.948 0.288
Tb4 Tb 0.500 0.000 0.000
Sm2 Sm 0.268 0.268 0.535
Tb5 Tb 0.856 0.660 0.712
```

Calculated values
* excess energy over the best structure of this formula in the dataset: 102 kJ/mol of formula units
* E: -5.09 eV/atom
* magnetization: 0.0 μB per cell
* theoretical density: 6.46 Mg/m³
* space-group type: Immm
* density of states at the Fermi level: 16.73 states/eV/f.u.
* crystal system: orthorhombic
* ΔH_f (0 K): 227 meV per atom

***

Compound: Tb5SmY7
Source: the Alexandria database
Functional: PBE
Structure: relaxed

The structure in CIF format:
```
data_Tb5SmY7
_space_group_name_H-M_alt 'P 1'
_space_group_IT_number 1
_cell_length_a 6.699
_cell_length_b 8.730
_cell_length_c 8.730
_cell_angle_alpha 79.42
_cell_angle_beta 67.44
_cell_angle_gamma 67.44
loop_
_space_group_symop_operation_xyz
'x,y,z'
loop_
_atom_site_label
_atom_site_type_symbol
_atom_site_fract_x
_atom_site_fract_y
_atom_site_fract_z
Tb1 Tb 0.775 0.725 0.725
Y1 Y 0.269 0.231 0.231
Y2 Y 0.266 0.734 0.734
Y3 Y 0.020 0.308 0.651
Y4 Y 0.020 0.651 0.308
Tb2 Tb 0.536 0.004 0.461
Tb3 Tb 0.000 0.004 0.461
Tb4 Tb 0.536 0.461 0.004
Sm1 Sm 0.963 0.037 0.037
Tb5 Tb 0.000 0.461 0.004
Y5 Y 0.575 0.425 0.425
Y6 Y 0.520 0.812 0.148
Y7 Y 0.520 0.148 0.812
```

Calculated values
* E: -5.39 eV/atom
* magnetization: 0.0 μB per cell
* theoretical density: 5.98 Mg/m³
* space-group type: Imm2
* density of states at the Fermi level: 24.16 states/eV/f.u.
* crystal system: orthorhombic
* ΔH_f (0 K): 239 meV per atom

***

Compound: Tb3Sm5Y2
Source: the Alexandria database
Functional: PBE
Structure: relaxed

The structure in CIF format:
```
data_Tb3Sm5Y2
_space_group_name_H-M_alt 'P 1'
_space_group_IT_number 1
_cell_length_a 10.042
_cell_length_b 10.030
_cell_length_c 11.282
_cell_angle_alpha 129.61
_cell_angle_beta 129.63
_cell_angle_gamma 64.29
loop_
_space_group_symop_operation_xyz
'x,y,z'
loop_
_atom_site_label
_atom_site_type_symbol
_atom_site_fract_x
_atom_site_fract_y
_atom_site_fract_z
Sm1 Sm 0.522 0.272 0.545
Tb1 Tb 0.772 0.022 0.044
Tb2 Tb 0.027 0.780 0.249
Tb3 Tb 0.973 0.220 0.751
Sm2 Sm 0.380 0.127 0.753
Y1 Y 0.780 0.027 0.752
Sm3 Sm 0.269 0.519 0.038
Y2 Y 0.220 0.973 0.248
Sm4 Sm 0.620 0.873 0.247
Y3 Y 0.528 0.275 0.248
Sm5 Sm 0.982 0.232 0.463
Sm6 Sm 0.018 0.768 0.537
Tb4 Tb 0.278 0.530 0.751
Sm7 Sm 0.478 0.728 0.455
Sm8 Sm 0.127 0.374 0.247
Tb5 Tb 0.722 0.470 0.249
Sm9 Sm 0.731 0.481 0.962
Y4 Y 0.472 0.725 0.752
Tb6 Tb 0.228 0.978 0.956
Sm10 Sm 0.873 0.626 0.753
```

Calculated values
* excess energy over the best structure of this formula in the dataset: 0 kJ/mol of formula units
* E: -4.85 eV/atom
* magnetization: 0.0 μB per cell
* theoretical density: 6.93 Mg/m³
* space-group type: C2/c
* density of states at the Fermi level: 18.67 states/eV/f.u.
* crystal system: monoclinic
* ΔH_f (0 K): 190 meV per atom

***

Compound: TbSm2Y5
Source: the Alexandria database
Functional: PBE
Structure: relaxed

The structure in CIF format:
```
data_TbSm2Y5
_space_group_name_H-M_alt 'P 1'
_space_group_IT_number 1
_cell_length_a 10.205
_cell_length_b 10.205
_cell_length_c 11.530
_cell_angle_alpha 55.52
_cell_angle_beta 55.52
_cell_angle_gamma 100.97
loop_
_space_group_symop_operation_xyz
'x,y,z'
loop_
_atom_site_label
_atom_site_type_symbol
_atom_site_fract_x
_atom_site_fract_y
_atom_site_fract_z
Y1 Y 0.302 0.695 0.911
Y2 Y 0.103 0.898 0.437
Y3 Y 0.459 0.541 0.250
Y4 Y 0.541 0.459 0.750
Tb1 Tb 0.898 0.102 0.250
Sm1 Sm 0.500 0.500 0.000
Y5 Y 0.305 0.698 0.589
Sm2 Sm 0.000 0.500 0.500
Y6 Y 0.102 0.897 0.063
Y7 Y 0.695 0.302 0.411
Y8 Y 0.698 0.305 0.089
Y9 Y 0.897 0.102 0.563
Tb2 Tb 0.102 0.898 0.750
Sm3 Sm 0.500 0.000 0.000
Sm4 Sm 0.500 0.500 0.500
Y10 Y 0.898 0.103 0.937
```

Calculated values
* excess energy over the best structure of this formula in the dataset: 193 kJ/mol of formula units
* E: -5.53 eV/atom
* magnetization: 0.0 μB per cell
* theoretical density: 5.58 Mg/m³
* space-group type: C2/c
* density of states at the Fermi level: 17.09 states/eV/f.u.
* crystal system: monoclinic
* ΔH_f (0 K): 269 meV per atom

***

Compound: TbSm3Y3
Source: the Alexandria database
Functional: PBE
Structure: relaxed

The structure in CIF format:
```
data_TbSm3Y3
_space_group_name_H-M_alt 'P 1'
_space_group_IT_number 1
_cell_length_a 6.240
_cell_length_b 6.240
_cell_length_c 14.813
_cell_angle_alpha 77.84
_cell_angle_beta 77.84
_cell_angle_gamma 60.00
loop_
_space_group_symop_operation_xyz
'x,y,z'
loop_
_atom_site_label
_atom_site_type_symbol
_atom_site_fract_x
_atom_site_fract_y
_atom_site_fract_z
Y1 Y 0.601 0.935 0.197
Sm1 Sm 0.537 0.199 0.396
Y2 Y 0.732 0.399 0.803
Sm2 Sm 0.463 0.801 0.604
Y3 Y 0.268 0.601 0.197
Sm3 Sm 0.132 0.463 0.604
Y4 Y 0.399 0.065 0.803
Sm4 Sm 0.801 0.132 0.604
Sm5 Sm 0.199 0.868 0.396
Y5 Y 0.065 0.732 0.803
Y6 Y 0.935 0.268 0.197
Tb1 Tb 0.667 0.667 0.000
Tb2 Tb 0.333 0.333 0.000
Sm6 Sm 0.868 0.537 0.396
```

Calculated values
* excess energy over the best structure of this formula in the dataset: 0 kJ/mol of formula units
* E: -5.30 eV/atom
* magnetization: 0.0 μB per cell
* theoretical density: 6.01 Mg/m³
* space-group type: R-3
* density of states at the Fermi level: 10.94 states/eV/f.u.
* crystal system: trigonal
* ΔH_f (0 K): 158 meV per atom